(1)
# NaHoCoS3

A relaxed NaHoCoS3 crystal (PBE, the Open Quantum Materials Database).

Cell and atoms, written as POSCAR:
```
NaHoCoS3
1.0
-7.7068 -1.4080 1.5093
0.4612 -3.6470 -1.0471
3.9547 -1.7447 7.8185
Ho Na S Co
2 2 6 2
Cartesian
-4.6409 -4.5147 3.2156 Ho
1.3500 -2.2850 5.0650 Ho
-0.9056 -3.6754 1.9380 Na
-2.3853 -3.1243 6.3426 Na
0.9484 -1.5961 2.4888 S
-3.0644 -2.3386 3.3074 S
-4.2393 -5.2036 5.7919 S
-4.8707 -3.7615 0.4912 S
1.5798 -3.0382 7.7894 S
-0.2266 -4.4611 4.9733 S
-4.0203 -1.8755 1.2731 Co
0.7294 -4.9242 7.0076 Co
```

Output
- density (Mg/m³) = 4.3
- total DFT energy (no corrections) (eV/cell) = -65.78
- V (Å³/cell) = 265


(2)
# HoNbCo

A relaxed HoNbCo crystal (PBE, the Open Quantum Materials Database).

Cell and atoms, written as POSCAR:
```
HoNbCo
1.0
0.0000 3.1038 3.1038
3.1038 0.0000 3.1038
3.1038 3.1038 0.0000
Co Nb Ho
1 1 1
Cartesian
1.5519 1.5519 1.5519 Co
0.0000 0.0000 0.0000 Nb
4.6557 4.6557 4.6557 Ho
```

Output
- formation enthalpy at 0 K (eV/atom) = 0.806
- density (Mg/m³) = 8.8
- total DFT energy (no corrections) (eV/cell) = -19.36
- V (Å³/cell) = 60


(3)
# NdHoCo

A relaxed NdHoCo crystal (PBE, the Open Quantum Materials Database).

Cell and atoms, written as POSCAR:
```
NdHoCo
1.0
0.0000 3.3194 3.3194
3.3194 0.0000 3.3194
3.3194 3.3194 0.0000
Nd Co Ho
1 1 1
Cartesian
4.9790 4.9790 4.9790 Nd
1.6597 1.6597 1.6597 Co
0.0000 0.0000 0.0000 Ho
```

Output
- formation enthalpy at 0 K (eV/atom) = 0.752
- density (Mg/m³) = 8.4
- total DFT energy (no corrections) (eV/cell) = -14.19
- V (Å³/cell) = 73